# 1
Here is a geometry-optimized La2AgAu structure from Alexandria. Energies are from GGA-PBE.

Uncorrected energy: -4.21 eV per atom
Energy of formation from the pure elements: -218 meV per atom
Magnetic moment: 0.00 μB per atom
Polymorph energy (0 for the lowest one): 1.282 eV/f.u.
DOS(E_F): 1.237 states/eV per atom
Space-group type: I-42d, No. 122

Cell lengths 6.837, 6.837, 6.837 Å; angles 106.25, 106.25, 116.13 degrees
Positions (direct):
La1 0.113 0.625 0.988
La2 0.375 0.363 0.488
La3 0.637 0.125 0.012
La4 0.875 0.887 0.512
Ag1 0.250 0.750 0.500
Ag2 0.500 0.500 0.000
Au1 0.000 0.000 0.000
Au2 0.750 0.250 0.500

---

# 2
Here is a geometry-optimized La2AgAu structure from Alexandria. Energies are from GGA-PBE.

Uncorrected energy: -3.95 eV per atom
Energy of formation from the pure elements: 47 meV per atom
Magnetic moment: 0.05 μB per atom
Polymorph energy (0 for the lowest one): 2.341 eV/f.u.
DOS(E_F): 0.959 states/eV per atom
Space-group type: Immm, No. 71

Cell lengths 8.407, 8.407, 8.407 Å; angles 154.02, 152.63, 38.10 degrees
Positions (direct):
La1 0.176 0.176 0.000
La2 0.824 0.824 0.000
Ag1 0.500 0.500 0.000
Au1 0.000 0.000 0.000

---

# 3
Here is a geometry-optimized La4Ag3Au structure from Alexandria. Energies are from GGA-PBE.

Uncorrected energy: -4.34 eV per atom
Energy of formation from the pure elements: -394 meV per atom
Magnetic moment: 0.00 μB per atom
DOS(E_F): 0.861 states/eV per atom
Space-group type: P4/mmm, No. 123

Cell lengths 3.813, 3.813, 15.247 Å; angles 90.00, 90.00, 90.00 degrees
Positions (direct):
La1 0.000 0.000 0.120
La2 0.000 0.000 0.374
La3 0.000 0.000 0.626
La4 0.000 0.000 0.880
Ag1 0.500 0.500 0.250
Ag2 0.500 0.500 0.500
Ag3 0.500 0.500 0.750
Au1 0.500 0.500 0.000

---

# 4
Here is a geometry-optimized La6Ag3Au structure from Alexandria. Energies are from GGA-PBE.

Uncorrected energy: -4.43 eV per atom
Energy of formation from the pure elements: -293 meV per atom
Magnetic moment: 0.00 μB per atom
Polymorph energy (0 for the lowest one): 0.000 eV/f.u.
DOS(E_F): 0.993 states/eV per atom
Space-group type: P2_1/m, No. 11

Cell lengths 9.662, 5.149, 12.637 Å; angles 90.00, 107.46, 90.00 degrees
Positions (direct):
La1 0.031 0.250 0.108
La2 0.155 0.250 0.727
La3 0.200 0.750 0.524
La4 0.372 0.750 0.132
La5 0.376 0.750 0.860
La6 0.396 0.250 0.372
La7 0.604 0.750 0.628
La8 0.624 0.250 0.140
La9 0.628 0.250 0.868
La10 0.800 0.250 0.476
La11 0.845 0.750 0.273
La12 0.969 0.750 0.892
Ag1 0.054 0.250 0.361
Ag2 0.165 0.750 0.271
Ag3 0.273 0.250 0.982
Ag4 0.727 0.750 0.018
Ag5 0.835 0.250 0.729
Ag6 0.946 0.750 0.639
Au1 0.411 0.250 0.628
Au2 0.589 0.750 0.372